Here is a relaxed Ca3YSb crystal from Alexandria via LeMat-Bulk. Energies are from GGA-PBE.

Results
calculated total energy: -2.52 eV per atom
E_form (uncorrected): 0.80 eV per atom
ΔE to the lowest computed polymorph: 4.294 eV/f.u.

Unit cell a=5.9524 b=5.9524 c=5.9524 alpha=90.00 beta=90.00 gamma=90.00
Space group Pm-3m (No. 221)
Unique sites:
Ca: 0.0000 0.0000 0.5000 x3
Y: 0.0000 0.0000 0.0000 x1
Sb: 0.5000 0.5000 0.5000 x1

***

Here is a relaxed CaY5Sb6 crystal from Alexandria via LeMat-Bulk. Energies are from GGA-PBE.

Results
calculated total energy: -6.02 eV per atom
E_form (uncorrected): -1.10 eV per atom

Unit cell a=7.6368 b=13.2483 c=7.6516 alpha=90.00 beta=109.50 gamma=90.00
Space group C2/m (No. 12)
Unique sites:
Ca: 0.0000 0.0000 0.0000 x2
Y: 0.0000 0.1648 0.5000 x4
Y: 0.0000 0.3325 0.0000 x4
Y: 0.0000 0.5000 0.5000 x2
Sb: 0.2455 0.5000 0.2519 x4
Sb: 0.2464 0.3309 0.7472 x8

***

Here is a relaxed CaYSb2 crystal from Alexandria via LeMat-Bulk. Energies are from GGA-PBE.

Results
calculated total energy: -5.04 eV per atom
E_form (uncorrected): -0.87 eV per atom
ΔE to the lowest computed polymorph: 0.301 eV/f.u.

Unit cell a=4.6049 b=4.6049 c=21.0746 alpha=90.00 beta=90.00 gamma=120.00
Space group R3m (No. 160, hexagonal axes)
Unique sites:
Ca: 0.0000 0.0000 0.0000 x3
Y: 0.0000 0.0000 0.1737 x3
Sb: 0.0000 0.0000 0.4233 x3
Sb: 0.0000 0.0000 0.5825 x3

***

Here is a relaxed Ca2YSb crystal from Alexandria via LeMat-Bulk. Energies are from GGA-PBE.

Results
calculated total energy: -3.79 eV per atom
E_form (uncorrected): -0.15 eV per atom
ΔE to the lowest computed polymorph: 1.288 eV/f.u.

Unit cell a=7.9007 b=7.9007 c=7.9007 alpha=90.00 beta=90.00 gamma=90.00
Space group Fm-3m (No. 225)
Unique sites:
Ca: 0.2500 0.2500 0.2500 x8
Y: 0.0000 0.0000 0.0000 x4
Sb: 0.0000 0.0000 0.5000 x4